No. 1
Tm3InOs2 | GGA-PBE | optimized geometry

## Properties
For the formation energy, the calculation gives -0.347 eV/atom. The space group is P4/mmm, No. 123.

Unit cell a=3.3975 b=3.3975 c=11.1307 alpha=90.00 beta=90.00 gamma=90.00
Fractional coordinates of all 6 atoms:
Tm (0.0000, 0.0000, 0.0000)
Tm (0.0000, 0.0000, 0.2950)
Tm (0.0000, 0.0000, 0.7050)
In (0.5000, 0.5000, 0.5000)
Os (0.5000, 0.5000, 0.1546)
Os (0.5000, 0.5000, 0.8454)

***

No. 2
Ac3Cu2Ge7 | GGA-PBE | optimized geometry

## Properties
For the formation energy, the calculation gives -0.464 eV/atom. The space group is P2/m, No. 10.

Unit cell a=4.4494 b=4.5737 c=13.5057 alpha=90.00 beta=98.79 gamma=90.00
Fractional coordinates of all 12 atoms:
Ac (0.0000, 0.0000, 0.0000)
Ac (0.3092, 0.5000, 0.6354)
Ac (0.6908, 0.5000, 0.3646)
Cu (0.1201, 0.0000, 0.2607)
Cu (0.8799, 0.0000, 0.7393)
Ge (0.1287, 0.5000, 0.1748)
Ge (0.2247, 0.0000, 0.4466)
Ge (0.4177, 0.0000, 0.8249)
Ge (0.5000, 0.5000, 0.0000)
Ge (0.5823, 0.0000, 0.1751)
Ge (0.7753, 0.0000, 0.5534)
Ge (0.8713, 0.5000, 0.8252)

***

No. 3
CsSb3 | GGA-PBE | optimized geometry

## Properties
For the energy relative to the elements, uncorrected, the calculation gives -135 meV per atom. The space group is P4mm, No. 99.

Unit cell a=4.9843 b=4.9843 c=6.7150 alpha=90.00 beta=90.00 gamma=90.00
Fractional coordinates of all 4 atoms:
Cs (0.0000, 0.0000, 0.0000)
Sb (0.0000, 0.5000, 0.5178)
Sb (0.5000, 0.0000, 0.5178)
Sb (0.5000, 0.5000, 0.2784)

***

Looking at DOS at the Fermi energy for the records above, in order, we have 3.434, 4.903, 0.832 states/eV per cell.
Looking at magnetization for the records above, in order, we have 0.00, 0.00, 0.00 μB per formula unit.
Looking at density for the records above, in order, we have 13.0, 8.0, 5.0 Mg/m³.